# 1
Compound: HoCo2GeP
Source: OQMD
Functional: PBE
Structure: relaxed

## Properties
crystal system	tetragonal
DFT total energy	-0.24230	Ha/atom
theoretical density	8.69	Mg/m³

Cell: 5.580 5.580 5.580 Å, 139.08 139.08 59.26°
Sites, in units of the cell vectors:
Ho1 0.000 0.000 0.000
Co1 0.238 0.738 0.500
Co2 0.738 0.238 0.500
Ge1 0.371 0.371 0.000
P1 0.628 0.628 0.000

# 2
Compound: ErTmCo2Ge2C
Source: OQMD
Functional: PBE
Structure: relaxed

## Properties
crystal system	monoclinic
DFT total energy	-0.24175	Ha/atom
theoretical density	9.22	Mg/m³

Cell: 5.666 5.666 6.772 Å, 125.42 125.42 40.05°
Sites, in units of the cell vectors:
Er1 0.000 0.000 0.000
Tm1 0.118 0.118 0.580
Co1 0.366 0.366 0.208
Co2 0.752 0.752 0.373
Ge1 0.400 0.400 0.593
Ge2 0.718 0.718 0.987
C1 0.560 0.560 0.292